(1)
This record from Alexandria describes a relaxed structure of NbBiHO2. The functional is PBE.

Lattice parameters (Å, degrees): 4.2642 3.4274 4.2642 90.00 90.00 90.00
Each line ends with the local moment (μB).
Element x y z (fractional)
H1 0.0000 0.0000 0.0000  0.00
Nb1 0.5000 0.5000 0.5000  0.54
Bi1 0.0000 0.5000 0.0000  0.02
O1 0.0000 0.0000 0.5000  -0.01
O2 0.5000 0.0000 0.0000  0.00

Energy ... -5.0714 eV/atom
Density ... 8.92 g cm⁻³
Space-group type ... P4/mmm, No. 123
Total magnetization ... 0.13 μB per atom

***

(2)
This record from Alexandria describes a relaxed structure of TbPr4SmSe8. The functional is PBE.

Lattice parameters (Å, degrees): 8.7023 8.7023 8.6838 59.93 59.93 60.00
Element x y z (fractional)
Tb1 0.3756 0.3756 0.8733
Pr1 0.6243 0.6243 0.1271
Pr2 0.0016 0.4955 0.5013
Pr3 0.4955 0.0016 0.5013
Pr4 0.0016 0.0016 0.5013
Sm1 0.0015 0.0015 0.9955
Se1 0.2427 0.7632 0.7514
Se2 0.7632 0.2427 0.7514
Se3 0.2427 0.2427 0.7514
Se4 0.2468 0.2468 0.2597
Se5 0.7618 0.2231 0.2532
Se6 0.2231 0.7618 0.2532
Se7 0.7618 0.7618 0.2532
Se8 0.7577 0.7577 0.7269

ΔE_f (raw) ... -1.73 eV/atom
Density ... 5.38 g cm⁻³
Space-group type ... R3m, No. 160
Total magnetization ... 0.00 μB per atom

***

(3)
This record from Alexandria describes a relaxed structure of MgAl4Hg. The functional is PBE.

Lattice parameters (Å, degrees): 5.4912 5.4912 5.4912 60.00 60.00 60.00
Element x y z (fractional)
Mg1 0.0000 0.0000 0.0000
Al1 0.3744 0.8768 0.3744
Al2 0.8768 0.3744 0.3744
Al3 0.3744 0.3744 0.8768
Al4 0.3744 0.3744 0.3744
Hg1 0.7500 0.7500 0.7500

Energy relative to the elements ... 0.12 eV/atom
Density ... 4.72 g cm⁻³
Space-group type ... F-43m, No. 216
Total magnetization ... 0.00 μB per atom

***

(4)
This record from Alexandria describes a relaxed structure of NbCu3Sn. The functional is PBE.

Lattice parameters (Å, degrees): 4.6674 4.6674 4.6674 90.00 90.00 90.00
Each line ends with the local moment (μB).
Element x y z (fractional)
Nb1 0.5000 0.5000 0.5000  1.52
Sn1 0.0000 0.0000 0.0000  -0.04
Cu1 0.0000 0.5000 0.0000  -0.01
Cu2 0.0000 0.0000 0.5000  0.02
Cu3 0.5000 0.0000 0.0000  -0.02

Energy relative to the elements ... 1.17 eV/atom
E above lowest polymorph ... 0.0 kJ/mol of atoms
Density ... 6.57 g cm⁻³
Space-group type ... Pm-3m, No. 221
Total magnetization ... 0.36 μB per atom

***

(5)
This record from Alexandria describes a relaxed structure of Ho2Fe3Si5. The functional is PBE.

Lattice parameters (Å, degrees): 5.3807 7.9582 7.9582 71.71 70.24 70.24
Element x y z (fractional)
Ho1 0.1389 0.5915 0.1306
Ho2 0.6389 0.1306 0.5915
Ho3 0.8611 0.4085 0.8694
Ho4 0.3611 0.8694 0.4085
Fe1 0.3546 0.5551 0.7357
Fe2 0.8546 0.7357 0.5551
Fe3 0.6454 0.4449 0.2643
Fe4 0.1454 0.2643 0.4449
Fe5 0.2500 0.0000 0.0000
Fe6 0.7500 0.0000 0.0000
Si1 0.4077 0.2634 0.9213
Si2 0.9077 0.9213 0.2634
Si3 0.5923 0.7366 0.0787
Si4 0.0923 0.0787 0.7366
Si5 0.4598 0.7902 0.7902
Si6 0.5402 0.2098 0.2098
Si7 0.7500 0.5000 0.5000
Si8 0.2500 0.5000 0.5000
Si9 0.0402 0.2098 0.2098
Si10 0.9598 0.7902 0.7902

ΔE_f (raw) ... -0.68 eV/atom
E above lowest polymorph ... 1.7 kJ/mol of atoms
Density ... 7.20 g cm⁻³
Space-group type ... Ibam, No. 72
Total magnetization ... 0.00 μB per atom

***

(6)
This record from Alexandria describes a relaxed structure of InCu2Cl. The functional is PBE.

Lattice parameters (Å, degrees): 3.1206 3.1206 7.1570 90.00 90.00 90.00
Element x y z (fractional)
Cl1 0.5000 0.5000 0.7500
Cu1 0.0000 0.0000 0.9977
Cu2 0.0000 0.0000 0.5023
In1 0.5000 0.5000 0.2500

ΔE_f (raw) ... 0.13 eV/atom
E above lowest polymorph ... 22.2 kJ/mol of atoms
Density ... 6.61 g cm⁻³
Space-group type ... P4/mmm, No. 123
Total magnetization ... 0.00 μB per atom